Hf2Zn2Rh, optimized geometry, DFT PBE; symmetry = No. 127; E_form = -8.1 kcal/mol of atoms; N(E_F) = 7.28 states/eV/cell
1.0
6.769 0.000 0.000
0.000 6.769 0.000
0.000 0.000 3.737
Zn Hf Rh
4 4 2
direct
0.872 0.628 0.000
0.128 0.372 0.000
0.372 0.872 0.000
0.628 0.128 0.000
0.174 0.674 0.500
0.826 0.326 0.500
0.326 0.174 0.500
0.674 0.826 0.500
0.000 0.000 0.000
0.500 0.500 0.000

***

ZnPAuS2, optimized geometry, DFT PBE; formation energy without anion corrections = 443 kJ/mol of formula units; symmetry = No. 123; N(E_F) = 5.58 states/eV/cell
1.0
-1.462 -1.090 4.297
-3.060 -3.025 -1.809
3.180 -3.355 0.230
P Au S Zn
1 1 2 1
direct
0.000 0.000 0.500
0.500 0.500 0.500
0.500 0.000 0.000
0.000 0.500 0.000
0.000 0.000 0.000

***

MnReRh2, optimized geometry, DFT PBE; symmetry = No. 12; E_form = -0.7 kcal/mol of atoms; N(E_F) = 4.55 states/eV/cell
1.0
4.691 -0.005 -0.018
3.912 2.589 -0.018
0.772 0.232 4.591
Rh Re Mn
2 1 1
direct
0.000 0.000 0.000
0.500 0.500 0.500
0.250 0.250 0.250
0.750 0.750 0.750

***

La2ZnFe3Ni12, optimized geometry, DFT PBE; symmetry = No. 166; E_form = 2.3 kcal/mol of atoms; N(E_F) = 21.45 states/eV/cell
1.0
-2.039 4.821 3.539
0.482 -2.976 5.553
5.723 2.232 1.478
Ni Zn La Fe
12 1 2 3
direct
0.583 0.147 0.583
0.583 0.583 0.147
0.271 0.803 0.803
0.803 0.271 0.803
0.417 0.417 0.853
0.417 0.853 0.417
0.197 0.197 0.729
0.197 0.729 0.197
0.853 0.417 0.417
0.147 0.583 0.583
0.803 0.803 0.271
0.729 0.197 0.197
0.000 0.000 0.000
0.713 0.713 0.713
0.287 0.287 0.287
0.500 0.000 0.000
0.000 0.000 0.500
0.000 0.500 0.000

***

MoBr, optimized geometry, DFT PBE; formation energy without anion corrections = 208 kJ/mol of formula units; symmetry = No. 221; N(E_F) = 5.34 states/eV/cell
1.0
4.556 0.000 0.000
0.000 4.556 0.000
0.000 0.000 3.227
Br Mo
2 2
direct
0.250 0.750 0.000
0.750 0.250 0.000
0.250 0.250 0.500
0.750 0.750 0.500

***

TaCdPd2, optimized geometry, DFT PBE; symmetry = No. 122; E_form = 5.4 kcal/mol of atoms; N(E_F) = 9.72 states/eV/cell
1.0
7.293 0.000 0.000
0.000 7.293 0.000
3.646 3.646 2.867
Pd Ta Cd
4 2 2
direct
0.099 0.625 0.250
0.375 0.349 0.750
0.875 0.901 0.750
0.651 0.125 0.250
0.000 0.000 0.000
0.750 0.250 0.500
0.250 0.750 0.500
0.500 0.500 0.000

***

Pm2Er12Th, optimized geometry, DFT PBE; symmetry = No. 125; E_form = 8.1 kcal/mol of atoms; N(E_F) = 48.68 states/eV/cell
1.0
6.367 0.000 0.000
0.000 6.367 0.000
0.000 0.000 24.790
Er Pm Th
24 4 2
direct
0.500 0.500 0.214
0.812 0.312 0.886
0.169 0.331 0.440
0.831 0.331 0.560
0.500 0.500 0.660
0.000 0.000 0.214
0.188 0.688 0.886
0.500 0.500 0.786
0.000 0.000 0.660
0.812 0.688 0.114
0.669 0.169 0.440
0.688 0.812 0.886
0.169 0.669 0.560
0.831 0.669 0.440
0.000 0.000 0.786
0.331 0.169 0.560
0.669 0.831 0.560
0.188 0.312 0.114
0.000 0.000 0.340
0.331 0.831 0.440
0.312 0.188 0.886
0.500 0.500 0.340
0.688 0.188 0.114
0.312 0.812 0.114
0.000 0.500 0.726
0.000 0.500 0.274
0.500 0.000 0.726
0.500 0.000 0.274
0.500 0.000 0.000
0.000 0.500 0.000

***

HoHfCdPd, optimized geometry, DFT PBE; symmetry = No. 216; E_form = -7.0 kcal/mol of atoms; N(E_F) = 5.94 states/eV/cell
1.0
4.957 0.000 0.000
2.479 4.293 0.000
2.479 1.431 4.047
Hf Pd Ho Cd
1 1 1 1
direct
0.000 0.000 0.000
0.250 0.250 0.250
0.500 0.500 0.500
0.750 0.750 0.750

***

KSr2Be, optimized geometry, DFT PBE; symmetry = No. 8; E_form = 9.3 kcal/mol of atoms; N(E_F) = 3.29 states/eV/cell
1.0
-7.441 3.479 7.762
-6.438 -0.182 9.287
2.590 1.872 2.791
K Sr Be
1 2 1
direct
0.816 0.816 0.682
0.150 0.150 0.348
0.991 0.991 0.010
0.542 0.542 0.461

***

Ca2HgB, optimized geometry, DFT PBE; symmetry = No. 122; E_form = 8.3 kcal/mol of atoms; N(E_F) = 8.80 states/eV/cell
1.0
7.766 0.000 0.000
0.000 7.766 0.000
3.883 3.883 3.532
Hg B Ca
2 2 4
direct
0.000 0.000 0.000
0.750 0.250 0.500
0.250 0.750 0.500
0.500 0.500 0.000
0.375 0.436 0.750
0.875 0.814 0.750
0.564 0.125 0.250
0.186 0.625 0.250

***

H3W, optimized geometry, DFT PBE; electronic total energy = -5.571 eV per atom; symmetry = No. 11; N(E_F) = 0.95 states/eV/cell
1.0
3.054 0.000 0.000
0.000 3.062 0.000
0.000 1.423 6.236
H W
6 2
direct
0.250 0.462 0.172
0.750 0.075 0.640
0.250 0.088 0.829
0.750 0.912 0.171
0.250 0.925 0.360
0.750 0.538 0.828
0.750 0.332 0.356
0.250 0.668 0.644

***

Dy2HfO, optimized geometry, DFT PBE; formation energy without anion corrections = -393 kJ/mol of formula units; symmetry = No. 166; N(E_F) = 2.47 states/eV/cell
1.0
-3.073 -0.028 1.251
-1.010 -2.553 1.863
1.628 3.386 8.478
Hf Dy O
1 2 1
direct
0.000 0.000 0.000
0.115 0.115 0.655
0.885 0.885 0.345
0.500 0.500 0.500

***

MnCuW2, optimized geometry, DFT PBE; symmetry = No. 119; E_form = 8.2 kcal/mol of atoms; N(E_F) = 5.23 states/eV/cell
1.0
-1.129 3.578 2.881
2.343 -0.400 4.091
1.429 -0.124 -4.508
W Cu Mn
2 1 1
direct
0.000 0.000 0.000
0.250 0.750 0.500
0.500 0.500 0.000
0.750 0.250 0.500

***

TbNdSn2, optimized geometry, DFT PBE; symmetry = No. 123; E_form = -15.2 kcal/mol of atoms; N(E_F) = 3.68 states/eV/cell
1.0
3.511 0.000 0.000
0.000 3.511 0.000
0.000 0.000 8.976
Sn Nd Tb
2 1 1
direct
0.000 0.000 0.243
0.000 0.000 0.757
0.500 0.500 0.500
0.500 0.500 0.000

***

Rb4Er3SnSe8, optimized geometry, DFT PBE; formation energy without anion corrections = -2273 kJ/mol of formula units; symmetry = No. 166; N(E_F) = 1.62 states/eV/cell
1.0
8.457 0.000 0.000
0.000 9.339 0.613
-4.229 -4.224 5.983
Se Rb Er Sn
8 4 3 1
direct
0.732 0.694 0.463
0.233 0.693 0.961
0.728 0.693 0.961
0.233 0.693 0.465
0.272 0.307 0.039
0.767 0.307 0.039
0.268 0.306 0.537
0.767 0.307 0.535
0.500 0.000 0.500
0.000 0.000 0.500
0.500 0.000 0.000
0.000 0.000 0.000
0.500 0.500 0.500
0.500 0.500 0.000
0.000 0.500 0.500
0.000 0.500 0.000

***

Bi2Pd8Se, optimized geometry, DFT PBE; formation energy without anion corrections = -216 kJ/mol of formula units; symmetry = No. 12; N(E_F) = 5.82 states/eV/cell
1.0
4.549 0.000 0.000
0.000 5.733 0.496
-2.274 -1.898 7.301
Pd Bi Se
8 2 1
direct
0.024 0.758 0.049
0.585 0.418 0.171
0.415 0.582 0.829
0.655 0.906 0.309
0.976 0.242 0.951
0.345 0.094 0.691
0.163 0.199 0.327
0.837 0.801 0.673
0.205 0.681 0.410
0.795 0.319 0.590
0.500 0.000 0.000

***

CdIrOs2, optimized geometry, DFT PBE; symmetry = No. 123; E_form = 16.7 kcal/mol of atoms; N(E_F) = 5.89 states/eV/cell
1.0
4.190 0.000 0.000
0.000 3.866 0.000
0.000 0.000 3.866
Os Ir Cd
2 1 1
direct
0.000 0.500 0.500
0.000 0.000 0.000
0.500 0.000 0.500
0.500 0.500 0.000

***

CaU2Ru3, optimized geometry, DFT PBE; symmetry = No. 191; E_form = -3.2 kcal/mol of atoms; N(E_F) = 19.53 states/eV/cell
1.0
-0.248 -3.415 -5.020
-3.452 -1.401 4.801
-5.872 4.641 -2.868
Ru Ca U
6 2 4
direct
0.500 0.000 0.750
0.000 0.500 0.750
0.500 0.000 0.250
0.500 0.500 0.750
0.000 0.500 0.250
0.500 0.500 0.250
0.000 0.000 0.500
0.000 0.000 0.000
0.333 0.667 0.000
0.333 0.667 0.500
0.667 0.333 0.000
0.667 0.333 0.500

***

BaGaBi2, optimized geometry, DFT PBE; symmetry = No. 123; E_form = -9.4 kcal/mol of atoms; N(E_F) = 1.38 states/eV/cell
1.0
-4.195 -3.027 -0.365
2.930 -3.948 -0.930
0.265 -0.958 4.903
Ba Bi Ga
1 2 1
direct
0.500 0.500 0.500
0.000 0.500 0.000
0.000 0.000 0.500
0.500 0.000 0.000

***

Pb3SeCl, optimized geometry, DFT PBE; formation energy without anion corrections = 32 kJ/mol of formula units; symmetry = No. 221; N(E_F) = 3.96 states/eV/cell
1.0
-3.631 3.093 -3.261
-1.773 -4.838 -2.614
-4.130 -0.643 3.989
Se Cl Pb
1 1 3
direct
0.000 0.000 0.000
0.500 0.500 0.500
0.500 0.000 0.000
0.000 0.000 0.500
0.000 0.500 0.000